No. 1
The following is a PBE calculation of Er2NpS3 after structural relaxation, from the Alexandria database.

Results
Energy: -90.3 eV for the cell shown

Lattice parameters (Å, degrees): 3.8720 3.8720 16.5273 90.00 90.00 90.00
Closest atoms and distances in Å follow each position.
Space group I4/mmm (No. 139)
Inequivalent atoms, fractional coordinates:
Er (0.0000, 0.0000, 0.1638) (multiplicity 4)  6 S 2.71-2.74
Np (0.0000, 0.0000, 0.5000) (multiplicity 2)  6 S 2.74-2.81
S (0.0000, 0.0000, 0.0000) (multiplicity 2)  2 Er 2.71, 4 Np 2.74
S (0.0000, 0.0000, 0.3297) (multiplicity 4)  5 Er 2.74, 1 Np 2.81

***

No. 2
The following is a PBE calculation of RbLi3Au3 after structural relaxation, from the Alexandria database.

Results
Energy: -36.7 eV for the cell shown
ΔE_f: -0.26 eV/atom

Lattice parameters (Å, degrees): 7.2094 7.2094 7.2094 90.00 90.00 90.00
Closest atoms and distances in Å follow each position.
Space group Pm-3n (No. 223)
Inequivalent atoms, fractional coordinates:
Rb (0.0000, 0.0000, 0.0000) (multiplicity 2)  12 Li 4.03, 12 Au 4.03
Li (0.0000, 0.2500, 0.5000) (multiplicity 6)  4 Au 2.55
Au (0.0000, 0.5000, 0.2500) (multiplicity 6)  4 Li 2.55

***

No. 3
The following is a PBE calculation of La2BeAgRu after structural relaxation, from the Alexandria database.

Results
Energy: -26.1 eV for the cell shown
ΔE_f: -0.08 eV/atom

Lattice parameters (Å, degrees): 5.4487 5.4487 4.3942 90.00 90.00 90.00
Closest atoms and distances in Å follow each position.
Space group P4/mmm (No. 123)
Inequivalent atoms, fractional coordinates:
La (0.0000, 0.5000, 0.0000) (multiplicity 2)  2 Ru 2.72
Be (0.0000, 0.0000, 0.5000) (multiplicity 1)  2 Ru 2.20
Ag (0.5000, 0.5000, 0.5000) (multiplicity 1)  8 La 3.50, 4 Be 3.85
Ru (0.0000, 0.0000, 0.0000) (multiplicity 1)  2 Be 2.20

***

Calculated Fermi-level density of states in order - 11.01 6.49 3.39 states/eV per cell